Material: PmLuThIn
Method: DFT, PBE
State: optimized geometry

- DFT total energy: -4.87 eV per atom
- Crystal system: cubic
- Fermi-level density of states: 1.676 states/eV/atom

Geometry as POSCAR:
```
PmLuThIn
1.0
-0.008 -5.327 -1.249
2.718 -1.782 -4.402
4.561 -2.961 0.614
In Pm Th Lu
1 1 1 1
Direct
0.500 0.500 0.500
0.750 0.750 0.750
0.000 0.000 0.000
0.250 0.250 0.250
```



Material: PmLuTlIn
Method: DFT, PBE
State: optimized geometry

- DFT total energy: -3.98 eV per atom
- Crystal system: cubic
- Fermi-level density of states: 0.385 states/eV/atom

Geometry as POSCAR:
```
PmLuTlIn
1.0
-1.674 5.073 0.456
-5.248 1.088 0.145
-2.266 1.676 4.562
Lu Pm In Tl
1 1 1 1
Direct
0.500 0.500 0.500
0.000 0.000 0.000
0.250 0.250 0.250
0.750 0.750 0.750
```